Here is crystalline LiEuErMg at its relaxed geometry from Alexandria via LeMat-Bulk. Energies are from PBE.

## Properties
The value obtained for the energy of formation is 0.233 eV/f.u. The symmetry is F-43m. The density of states at the Fermi level comes out at 1.255 states/eV per atom. The value obtained for the calculated volume is 114.9 Å³/cell. The value obtained for the energy is -4.53 eV per atom. The value obtained for the total magnetic moment is 7.5 μB per cell.

The structure in POSCAR format:
```
LiEuErMg
1.0
-4.954 -0.518 2.229
-0.523 -0.445 5.414
-2.139 4.111 2.881
Eu Mg Li Er
1 1 1 1
direct
0.250 0.250 0.250
0.500 0.500 0.500
0.000 0.000 0.000
0.750 0.750 0.750
```

Here is crystalline La2PmCo at its relaxed geometry from Alexandria via LeMat-Bulk. Energies are from PBE.

## Properties
The value obtained for the energy relative to the lowest polymorph listed for this composition is 0 meV per atom. The value obtained for the energy of formation is -0.366 eV/f.u. The symmetry is Pnma. The density of states at the Fermi level comes out at 1.272 states/eV per atom. The value obtained for the calculated volume is 462.8 Å³/cell. The value obtained for the energy is -5.52 eV per atom. The value obtained for the total magnetic moment is 0.0 μB per cell.

The structure in POSCAR format:
```
La2PmCo
1.0
-5.900 2.562 -0.043
-2.646 -6.135 -2.458
-1.448 -3.175 9.485
La Pm Co
8 4 4
direct
0.174 0.663 0.072
0.326 0.163 0.428
0.826 0.337 0.572
0.674 0.837 0.928
0.826 0.337 0.928
0.674 0.837 0.572
0.174 0.663 0.428
0.326 0.163 0.072
0.651 0.549 0.250
0.849 0.049 0.250
0.349 0.451 0.750
0.151 0.951 0.750
0.077 0.389 0.250
0.423 0.889 0.250
0.923 0.611 0.750
0.577 0.111 0.750
```

Here is crystalline PmTmBr at its relaxed geometry from Alexandria via LeMat-Bulk. Energies are from PBE.

## Properties
The symmetry is P3m1. The density of states at the Fermi level comes out at 0.639 states/eV per atom. The energy relative to the elements, uncorrected comes out at -273 meV/atom. The value obtained for the calculated volume is 90.7 Å³/cell. The value obtained for the energy is -3.91 eV per atom. The value obtained for the total magnetic moment is 0.0 μB per cell.

The structure in POSCAR format:
```
PmTmBr
1.0
3.817 0.000 0.000
0.000 5.240 0.000
0.000 -2.620 4.538
Tm Br Pm
1 1 1
direct
0.216 0.333 0.667
0.033 0.000 0.000
0.751 0.667 0.333
```

Here is crystalline CoAgRu2 at its relaxed geometry from Alexandria via LeMat-Bulk. Energies are from PBE.

## Properties
The value obtained for the energy of formation is 2.333 eV/f.u. The symmetry is P4/mmm. The density of states at the Fermi level comes out at 1.418 states/eV per atom. The value obtained for the calculated volume is 56.6 Å³/cell. The value obtained for the energy is -6.54 eV per atom. The value obtained for the total magnetic moment is 2.9 μB per cell.

The structure in POSCAR format:
```
CoAgRu2
1.0
-1.890 3.441 0.602
-2.992 -1.313 -1.890
-1.438 -1.353 3.217
Ag Co Ru
1 1 2
direct
0.500 0.500 0.000
0.500 0.000 0.500
0.000 0.000 0.000
0.000 0.500 0.500
```

Q: Which formula does entry 2 have?
A: La2PmCo

Q: What is the formula in the third record?
A: PmTmBr

Copy entry 3 word for word.
Here is crystalline PmTmBr at its relaxed geometry from Alexandria via LeMat-Bulk. Energies are from PBE.

## Properties
The symmetry is P3m1. The density of states at the Fermi level comes out at 0.639 states/eV per atom. The energy relative to the elements, uncorrected comes out at -273 meV/atom. The value obtained for the calculated volume is 90.7 Å³/cell. The value obtained for the energy is -3.91 eV per atom. The value obtained for the total magnetic moment is 0.0 μB per cell.

The structure in POSCAR format:
```
PmTmBr
1.0
3.817 0.000 0.000
0.000 5.240 0.000
0.000 -2.620 4.538
Tm Br Pm
1 1 1
direct
0.216 0.333 0.667
0.033 0.000 0.000
0.751 0.667 0.333
```